The following is a DFT calculation (PBE) of a relaxed structure of FeNi2W.

Properties
VASP energy: -32.337 eV/cell
Offset from the most stable computed form: 0.179 eV per atom
DFT formation energy: 0.16 eV/atom

a b c (Å): 8.5804 8.5804 8.5804
angles (deg): 17.69 17.69 17.69
Last column: nearest neighbours and their distance in Å.
Fractional coordinates of all 4 atoms:
Fe  0.0000  0.0000  0.0000  6 Ni 2.52, 6 Fe 2.64
Ni  0.2539  0.2539  0.2539  3 Fe 2.52, 6 Ni 2.64, 3 W 2.68
Ni  0.7461  0.7461  0.7461  3 Fe 2.52, 6 Ni 2.64, 3 W 2.68
W  0.5000  0.5000  0.5000  6 W 2.64, 6 Ni 2.68

The following is a DFT calculation (PBE) of a relaxed structure of MgTcSb2Te.

Properties
VASP energy: -21.405 eV/cell
Offset from the most stable computed form: 0.000 eV per atom

a b c (Å): 5.0151 5.0151 5.9403
angles (deg): 90.00 90.00 90.00
Last column: nearest neighbours and their distance in Å.
Fractional coordinates of all 5 atoms:
Mg  0.0000  0.0000  0.0000  4 Te 3.55, 8 Sb 3.89
Tc  0.5000  0.5000  0.5000  4 Sb 2.51
Sb  0.0000  0.5000  0.5000  2 Tc 2.51
Sb  0.5000  0.0000  0.5000  2 Tc 2.51
Te  0.5000  0.5000  0.0000  2 Tc 2.97

The following is a DFT calculation (PBE) of a relaxed structure of Ce2AlSi.

Properties
VASP energy: -20.636 eV/cell

a b c (Å): 11.3808 11.3808 11.3808
angles (deg): 15.30 15.30 15.30
Last column: nearest neighbours and their distance in Å.
Fractional coordinates of all 4 atoms:
Ce  0.0921  0.0921  0.0921  6 Ce 3.03, 3 Si 3.06, 1 Al 3.11
Ce  0.9079  0.9079  0.9079  6 Ce 3.03, 3 Si 3.06, 1 Al 3.11
Al  0.0000  0.0000  0.0000  6 Al 3.03, 2 Ce 3.11
Si  0.5000  0.5000  0.5000  6 Si 3.03, 6 Ce 3.06

The following is a DFT calculation (PBE) of a relaxed structure of LaTa4Br.

Properties
VASP energy: -49.944 eV/cell

a b c (Å): 5.7927 5.7927 5.7927
angles (deg): 60.00 60.00 60.00
Last column: nearest neighbours and their distance in Å.
Fractional coordinates of all 6 atoms:
La  0.0000  0.0000  0.0000  12 Ta 3.38, 4 Br 3.55
Ta  0.1080  0.6307  0.6307  6 Ta 2.77-3.03
Ta  0.6307  0.1080  0.6307  6 Ta 2.77-3.03
Ta  0.6307  0.6307  0.1080  6 Ta 2.77-3.03
Ta  0.6307  0.6307  0.6307  6 Ta 2.77-3.03
Br  0.2500  0.2500  0.2500  12 Ta 3.41, 4 La 3.55

The following is a DFT calculation (PBE) of a relaxed structure of LiCuPdI2.

Properties
VASP energy: -12.506 eV/cell

a b c (Å): 5.3247 5.3247 4.4768
angles (deg): 90.00 90.00 90.00
Last column: nearest neighbours and their distance in Å.
Fractional coordinates of all 5 atoms:
Li  0.0000  0.0000  0.0000  2 Pd 2.24
Cu  0.5000  0.5000  0.5000  8 I 3.48, 4 Pd 3.77
Pd  0.0000  0.0000  0.5000  2 Li 2.24
I  0.0000  0.5000  0.0000  2 Li 2.66
I  0.5000  0.0000  0.0000  2 Li 2.66

The following is a DFT calculation (PBE) of a relaxed structure of Ho12Er6Sc.

Properties
VASP energy: -84.480 eV/cell
Offset from the most stable computed form: 0.059 eV per atom
DFT formation energy: 0.22 eV/atom

a b c (Å): 8.5613 8.5613 8.5613
angles (deg): 98.23 98.23 98.23
Last column: nearest neighbours and their distance in Å.
Fractional coordinates of all 19 atoms:
Ho  0.0000  0.2578  0.7422  6 Ho 3.29-3.50, 4 Er 3.45-3.50
Ho  0.0000  0.7422  0.2578  6 Ho 3.29-3.50, 4 Er 3.45-3.50
Ho  0.1454  0.1454  0.4163  6 Ho 3.29-3.51, 2 Er 3.68
Ho  0.1454  0.4163  0.1454  6 Ho 3.29-3.51, 2 Er 3.68
Ho  0.2578  0.0000  0.7422  6 Ho 3.29-3.50, 4 Er 3.45-3.50
Ho  0.2578  0.7422  0.0000  6 Ho 3.29-3.50, 4 Er 3.45-3.50
Ho  0.4163  0.1454  0.1454  6 Ho 3.29-3.51, 2 Er 3.68
Ho  0.5837  0.8546  0.8546  6 Ho 3.29-3.51, 2 Er 3.68
Ho  0.7422  0.0000  0.2578  6 Ho 3.29-3.50, 4 Er 3.45-3.50
Ho  0.7422  0.2578  0.0000  6 Ho 3.29-3.50, 4 Er 3.45-3.50
Ho  0.8546  0.5837  0.8546  6 Ho 3.29-3.51, 2 Er 3.68
Ho  0.8546  0.8546  0.5837  6 Ho 3.29-3.51, 2 Er 3.68
Er  0.1628  0.5956  0.5956  3 Er 3.12-3.46, 1 Sc 3.29, 2 Ho 3.45
Er  0.4044  0.4044  0.8372  3 Er 3.12-3.46, 1 Sc 3.29, 2 Ho 3.45
Er  0.4044  0.8372  0.4044  3 Er 3.12-3.46, 1 Sc 3.29, 2 Ho 3.45
Er  0.5956  0.1628  0.5956  3 Er 3.12-3.46, 1 Sc 3.29, 2 Ho 3.45
Er  0.5956  0.5956  0.1628  3 Er 3.12-3.46, 1 Sc 3.29, 2 Ho 3.45
Er  0.8372  0.4044  0.4044  3 Er 3.12-3.46, 1 Sc 3.29, 2 Ho 3.45
Sc  0.5000  0.5000  0.5000  6 Er 3.29

The following is a DFT calculation (PBE) of a relaxed structure of AsPPt3.

Properties
VASP energy: -24.109 eV/cell
Offset from the most stable computed form: 0.543 eV per atom
DFT formation energy: 0.81 eV/atom

a b c (Å): 4.6627 4.6627 4.6627
angles (deg): 90.00 90.00 90.00
Last column: nearest neighbours and their distance in Å.
Fractional coordinates of all 5 atoms:
As  0.0000  0.0000  0.0000  6 Pt 2.33
P  0.5000  0.5000  0.5000  12 Pt 3.30
Pt  0.0000  0.0000  0.5000  2 As 2.33
Pt  0.0000  0.5000  0.0000  2 As 2.33
Pt  0.5000  0.0000  0.0000  2 As 2.33

The following is a DFT calculation (PBE) of a relaxed structure of KBaCa2Hg.

Properties
VASP energy: -7.876 eV/cell
Offset from the most stable computed form: 0.000 eV per atom
DFT formation energy: -0.11 eV/atom

a b c (Å): 6.1760 6.1760 6.5711
angles (deg): 90.00 90.00 90.00
Last column: nearest neighbours and their distance in Å.
Fractional coordinates of all 5 atoms:
K  0.0000  0.0000  0.0000  4 Ba 4.37, 8 Ca 4.51
Ba  0.5000  0.5000  0.0000  2 Hg 3.29
Ca  0.0000  0.5000  0.5000  2 Hg 3.09
Ca  0.5000  0.0000  0.5000  2 Hg 3.09
Hg  0.5000  0.5000  0.5000  4 Ca 3.09, 2 Ba 3.29

The following is a DFT calculation (PBE) of a relaxed structure of LiYGa2Pd2.

Properties
VASP energy: -29.223 eV/cell
DFT formation energy: -0.73 eV/atom

a b c (Å): 4.3880 4.3880 6.4347
angles (deg): 90.00 90.00 120.00
Last column: nearest neighbours and their distance in Å.
Fractional coordinates of all 6 atoms:
Li  0.0000  0.0000  0.0000  6 Ga 2.83, 6 Pd 2.88
Y  0.0000  0.0000  0.5000  6 Pd 3.14, 6 Ga 3.20, 2 Li 3.22
Ga  0.3333  0.6667  0.1970  4 Pd 2.54-2.64, 3 Li 2.83
Ga  0.6667  0.3333  0.8030  4 Pd 2.54-2.64, 3 Li 2.83
Pd  0.3333  0.6667  0.7873  4 Ga 2.54-2.64
Pd  0.6667  0.3333  0.2127  4 Ga 2.54-2.64

The following is a DFT calculation (PBE) of a relaxed structure of TbDy2Lu.

Properties
VASP energy: -18.261 eV/cell
Offset from the most stable computed form: 0.000 eV per atom
DFT formation energy: 0.02 eV/atom

a b c (Å): 4.9742 4.9742 4.9767
angles (deg): 90.00 90.00 90.00
Last column: nearest neighbours and their distance in Å.
Fractional coordinates of all 4 atoms:
Tb  0.0000  0.0000  0.0000  4 Lu 3.52, 8 Dy 3.52
Dy  0.0000  0.5000  0.5000  4 Dy 3.52, 4 Lu 3.52, 4 Tb 3.52
Dy  0.5000  0.0000  0.5000  4 Dy 3.52, 4 Lu 3.52, 4 Tb 3.52
Lu  0.5000  0.5000  0.0000  4 Tb 3.52, 8 Dy 3.52

The following is a DFT calculation (PBE) of a relaxed structure of CsVGe2Cl8.

Properties
VASP energy: -47.739 eV/cell

a b c (Å): 6.3326 7.1004 9.0835
angles (deg): 91.93 92.21 112.63
Last column: nearest neighbours and their distance in Å.
Fractional coordinates of all 12 atoms:
Cs  0.0000  0.0000  0.0000  10 Cl 3.64-3.98
V  0.0000  0.0000  0.5000  6 Cl 2.33-2.44
Ge  0.3209  0.6669  0.6540  2 Cl 2.29-2.52
Ge  0.6791  0.3331  0.3460  2 Cl 2.29-2.52
Cl  0.0503  0.7522  0.3470  1 V 2.33
Cl  0.2496  0.2676  0.3522  1 V 2.44, 1 Ge 2.58
Cl  0.3257  0.0236  0.6607  1 V 2.43, 1 Ge 2.52
Cl  0.3373  0.6683  0.9062  1 Ge 2.29
Cl  0.6627  0.3317  0.0938  1 Ge 2.29
Cl  0.6743  0.9764  0.3393  1 V 2.43, 1 Ge 2.52
Cl  0.7504  0.7324  0.6478  1 V 2.44, 1 Ge 2.58
Cl  0.9497  0.2478  0.6530  1 V 2.33

The following is a DFT calculation (PBE) of a relaxed structure of Tb5Nd2Er3.

Properties
VASP energy: -88.853 eV/cell
Offset from the most stable computed form: 0.000 eV per atom
DFT formation energy: 0.19 eV/atom

a b c (Å): 9.5924 9.5924 9.4030
angles (deg): 108.19 108.19 112.47
Last column: nearest neighbours and their distance in Å.
Fractional coordinates of all 20 atoms:
Tb  0.0297  0.9703  0.7500  1 Tb 3.14, 4 Er 3.33-3.49
Tb  0.1122  0.3457  0.7140  3 Er 3.43-3.61, 2 Nd 3.44-3.69, 3 Tb 3.53-3.69
Tb  0.2264  0.7736  0.7500  1 Tb 3.14, 2 Nd 3.30
Tb  0.2681  0.7319  0.2500  5 Er 3.31-3.50, 2 Nd 3.45, 2 Tb 3.58
Tb  0.3457  0.1122  0.2140  3 Er 3.43-3.61, 2 Nd 3.44-3.69, 3 Tb 3.53-3.69
Tb  0.6543  0.8878  0.7860  3 Er 3.43-3.61, 2 Nd 3.44-3.69, 3 Tb 3.53-3.69
Tb  0.7319  0.2681  0.7500  5 Er 3.31-3.50, 2 Nd 3.45, 2 Tb 3.58
Tb  0.7736  0.2264  0.2500  1 Tb 3.14, 2 Nd 3.30
Tb  0.8878  0.6543  0.2860  3 Er 3.43-3.61, 2 Nd 3.44-3.69, 3 Tb 3.53-3.69
Tb  0.9703  0.0297  0.2500  1 Tb 3.14, 4 Er 3.33-3.49
Nd  0.2336  0.4861  0.4532  3 Er 3.16-3.43, 4 Tb 3.30-3.54
Nd  0.4861  0.2336  0.9532  3 Er 3.16-3.43, 4 Tb 3.30-3.54
Nd  0.5139  0.7664  0.0468  3 Er 3.16-3.43, 4 Tb 3.30-3.54
Nd  0.7664  0.5139  0.5468  3 Er 3.16-3.43, 4 Tb 3.30-3.54
Er  0.0392  0.2788  0.0476  1 Nd 3.16, 5 Tb 3.31-3.50, 1 Er 3.38
Er  0.2788  0.0392  0.5476  1 Nd 3.16, 5 Tb 3.31-3.50, 1 Er 3.38
Er  0.4765  0.5235  0.2500  4 Nd 3.32-3.43, 3 Tb 3.32-3.52, 2 Er 3.38
Er  0.5235  0.4765  0.7500  4 Nd 3.32-3.43, 3 Tb 3.32-3.52, 2 Er 3.38
Er  0.7212  0.9608  0.4524  1 Nd 3.16, 5 Tb 3.31-3.50, 1 Er 3.38
Er  0.9608  0.7212  0.9524  1 Nd 3.16, 5 Tb 3.31-3.50, 1 Er 3.38

| no. | magnetic moment (μB/f.u.) |
| --- | --- |
| 1 | 3.17 |
| 2 | 0.22 |
| 3 | 0.00 |
| 4 | 0.00 |
| 5 | 0.00 |
| 6 | 0.00 |
| 7 | 0.00 |
| 8 | 0.00 |
| 9 | 0.00 |
| 10 | 0.00 |
| 11 | 2.00 |
| 12 | 0.00 |